The following is a DFT calculation (PBE) of an optimized crystal structure of Bi2IrRhO8.

Lattice parameters (Å, degrees): 4.9780 4.8736 6.6294 90.00 90.00 91.13
With the nearest neighbours (Å) after each atom.
Fractional positions:
O 0.3206 0.2251 0.0001  1 Ir 1.92
O 0.8644 0.2031 0.7545  1 Ir 2.03, 1 Rh 2.08
Ir 0.0000 0.0000 0.0000  6 O 1.92-2.03
O 0.6767 0.7492 0.5001  1 Rh 2.00, 2 Bi 2.22
O 0.3233 0.2508 0.4999  1 Rh 2.00, 2 Bi 2.22
O 0.1356 0.7969 0.2455  1 Ir 2.03, 1 Rh 2.08
Bi 0.4999 0.4998 0.7482  6 O 2.22-2.34
O 0.6794 0.7749 0.9999  1 Ir 1.92
O 0.8641 0.2028 0.2455  1 Ir 2.03, 1 Rh 2.08
Rh 0.0000 0.0000 0.5000  6 O 2.00-2.08
Bi 0.5001 0.5002 0.2518  6 O 2.22-2.34
O 0.1359 0.7972 0.7545  1 Ir 2.03, 1 Rh 2.08

Properties
The uncorrected energy is -6.13 eV per atom. The space group is No. 10. As for the uncorrected formation energy: -9.94 eV/f.u. Its magnetic moment is 0.039 μB per formula unit. The calculation puts the calculated volume at 13.40 Å³/atom.

***

The following is a DFT calculation (PBE) of an optimized crystal structure of DyMgPa2N5.

Lattice parameters (Å, degrees): 3.5182 7.0402 11.1076 90.00 90.00 104.47
With the nearest neighbours (Å) after each atom.
Fractional positions:
N 0.6306 0.2612 0.5792  1 Mg 2.11, 2 Pa 2.20, 1 Dy 2.30
Pa 0.8669 0.7339 0.1988  3 N 2.17-2.20
N 0.4672 0.9345 0.7976  1 Mg 2.15, 2 Pa 2.25
N 0.7134 0.4268 0.1463  3 Pa 2.17-2.38
N 0.2866 0.5732 0.6463  3 Pa 2.17-2.38
Mg 0.4954 0.9908 0.4860  4 N 2.09-2.15
Mg 0.5046 0.0092 0.9860  4 N 2.09-2.15
N 0.5328 0.0655 0.2976  1 Mg 2.15, 2 Pa 2.25
Dy 0.7804 0.5607 0.4839  6 N 2.30-2.52
N 0.2939 0.5877 0.3316  2 Dy 2.45, 3 Pa 2.50-2.53
N 0.9395 0.8790 0.5603  2 Mg 2.09, 1 Pa 2.18, 1 Dy 2.33
Pa 0.1331 0.2661 0.6988  3 N 2.17-2.20
N 0.7061 0.4123 0.8316  2 Dy 2.45, 3 Pa 2.50-2.53
N 0.3694 0.7388 0.0792  1 Mg 2.11, 2 Pa 2.20, 1 Dy 2.30
Pa 0.1238 0.2476 0.2403  5 N 2.18-2.38
N 0.0605 0.1210 0.0603  2 Mg 2.09, 1 Pa 2.18, 1 Dy 2.33
Pa 0.8762 0.7524 0.7403  5 N 2.18-2.38
Dy 0.2196 0.4393 0.9839  6 N 2.30-2.52

Properties
The uncorrected energy is -8.79 eV per atom. The space group is No. 36. As for the uncorrected formation energy: -12.33 eV/f.u. Its magnetic moment is 0.000 μB per formula unit. The calculation puts the calculated volume at 14.80 Å³/atom.

***

The following is a DFT calculation (PBE) of an optimized crystal structure of RbHgI2.

Lattice parameters (Å, degrees): 6.0724 6.0724 6.0724 60.00 60.00 60.00
With the nearest neighbours (Å) after each atom.
Fractional positions:
I 0.2500 0.2500 0.2500  4 Hg 3.72, 4 Rb 3.72
Hg 0.5000 0.5000 0.5000  8 I 3.72
Rb 0.0000 0.0000 0.0000  8 I 3.72
I 0.7500 0.7500 0.7500  4 Rb 3.72, 4 Hg 3.72

Properties
The uncorrected energy is -1.71 eV per atom. The space group is No. 225. As for the uncorrected formation energy: -2.47 eV/f.u. The energy relative to the lowest polymorph listed for this composition is 182 meV per atom. Its magnetic moment is 0.000 μB per formula unit. The calculation puts the calculated volume at 39.58 Å³/atom.

***

The following is a DFT calculation (PBE) of an optimized crystal structure of La2SmScTl2.

Lattice parameters (Å, degrees): 5.0346 7.1099 10.0752 90.00 90.00 90.00
With the nearest neighbours (Å) after each atom.
Fractional positions:
Tl 0.5000 0.7401 0.6055  2 Sc 3.07-3.13, 4 Sm 3.24-3.35, 2 La 3.40
La 0.0000 0.8172 0.8262  2 La 3.25, 4 Tl 3.33-3.40
Tl 0.0000 0.2853 0.8415  2 Sc 3.05, 1 Sm 3.26, 4 La 3.33-3.39
La 0.5000 0.5744 0.9364  2 La 3.25, 3 Tl 3.39-3.54
Tl 0.0000 0.7853 0.1585  2 Sc 3.05, 1 Sm 3.26, 4 La 3.33-3.39
Tl 0.5000 0.2401 0.3945  2 Sc 3.07-3.13, 4 Sm 3.24-3.35, 2 La 3.40
La 0.5000 0.0744 0.0636  2 La 3.25, 3 Tl 3.39-3.54
Sm 0.0000 0.9669 0.4554  5 Tl 3.24-3.35
Sc 0.5000 0.6617 0.3058  4 Tl 3.05-3.13
Sm 0.0000 0.4669 0.5446  5 Tl 3.24-3.35
Sc 0.5000 0.1617 0.6942  4 Tl 3.05-3.13
La 0.0000 0.3172 0.1738  2 La 3.25, 4 Tl 3.33-3.40

Properties
The uncorrected energy is -4.55 eV per atom. The space group is No. 26. For the formation energy, the calculation gives -273 meV per atom. Its magnetic moment is 0.000 μB per formula unit. The calculation puts the calculated volume at 30.05 Å³/atom.

***

The following is a DFT calculation (PBE) of an optimized crystal structure of LiGdS.

Lattice parameters (Å, degrees): 3.9736 3.9464 3.9464 120.00 90.00 90.00
With the nearest neighbours (Å) after each atom.
Fractional positions:
Gd 0.6667 0.6667 0.3333  6 Li 3.02, 6 S 3.02
S 0.1668 0.3333 0.6667  3 Li 2.28
Li 0.1665 0.0000 0.0000  3 S 2.28

Properties
The uncorrected energy is -7.88 eV per atom. The space group is No. 187. As for the uncorrected formation energy: -3.52 eV/f.u. Its magnetic moment is 6.947 μB per formula unit. The calculation puts the calculated volume at 17.86 Å³/atom.

***

The following is a DFT calculation (PBE) of an optimized crystal structure of Pr5In4Ag.

Lattice parameters (Å, degrees): 3.7254 3.7254 20.9922 90.00 90.00 90.00
With the nearest neighbours (Å) after each atom.
Fractional positions:
Pr 0.5000 0.5000 0.0938  4 Ag 3.29, 4 In 3.35
In 0.0000 0.0000 0.6022  8 Pr 3.39-3.40, 4 In 3.73
In 0.0000 0.0000 0.1925  8 Pr 3.35-3.42, 4 In 3.73
Pr 0.5000 0.5000 0.9062  4 Ag 3.29, 4 In 3.35
Ag 0.0000 0.0000 0.0000  8 Pr 3.29
Pr 0.5000 0.5000 0.2964  8 In 3.39-3.42, 4 Pr 3.73
Pr 0.5000 0.5000 0.5000  8 In 3.40, 4 Pr 3.73
In 0.0000 0.0000 0.3978  8 Pr 3.39-3.40, 4 In 3.73
Pr 0.5000 0.5000 0.7036  8 In 3.39-3.42, 4 Pr 3.73
In 0.0000 0.0000 0.8075  8 Pr 3.35-3.42, 4 In 3.73

Properties
The uncorrected energy is -4.22 eV per atom. The space group is No. 123. For the formation energy, the calculation gives -449 meV per atom. Its magnetic moment is 0.002 μB per formula unit. The calculation puts the calculated volume at 29.13 Å³/atom.

***

> Look up the uncorrected energy of the third one.

-1.71 eV per atom

***

> Which of these has the highest magnetic moment?

LiGdS

***

> Which value of uncorrected energy does entry 1 give?

-6.13 eV per atom